# 1
# KTl2Sb3

KTl2Sb3 after structural relaxation (GGA-PBE, Alexandria via LeMat-Bulk).

DOS at the Fermi energy = 7.55 states/eV/cell
Crystal system = orthorhombic
E_form (uncorrected) = -0.06 eV per atom

```
KTl2Sb3
1.0
-2.8275 6.1655 -0.3530
-4.5633 -2.4551 -6.3295
-4.1018 -1.4848 6.9198
K Tl Sb
2 4 6
direct
0.7500 0.3428 0.3428 K
0.2500 0.6572 0.6572 K
0.0000 0.7724 0.2276 Tl
0.5000 0.2276 0.7724 Tl
0.0000 0.2276 0.7724 Tl
0.5000 0.7724 0.2276 Tl
0.7500 0.9733 0.9733 Sb
0.2500 0.0267 0.0267 Sb
0.7500 0.8240 0.5972 Sb
0.2500 0.1760 0.4028 Sb
0.7500 0.5972 0.8240 Sb
0.2500 0.4028 0.1760 Sb
```

---

# 2
# Sm14DyMg

Sm14DyMg after structural relaxation (GGA-PBE, Alexandria via LeMat-Bulk).

DOS at the Fermi energy = 20.62 states/eV/cell
Crystal system = orthorhombic
Formation energy = 0.01 eV/atom

```
Sm14DyMg
1.0
-6.7933 1.2406 2.0049
-2.2013 -5.5287 -4.0367
1.1975 -6.2738 7.9396
Sm Dy Mg
14 1 1
direct
0.3751 0.6249 0.5000 Sm
0.8750 0.1250 0.5000 Sm
0.8751 0.6252 0.0000 Sm
0.8751 0.6250 0.5000 Sm
0.3748 0.1249 0.0000 Sm
0.3750 0.1249 0.5000 Sm
0.6247 0.8746 0.7526 Sm
0.6247 0.8746 0.2474 Sm
0.1254 0.3753 0.7526 Sm
0.1254 0.3753 0.2474 Sm
0.1254 0.8746 0.7526 Sm
0.1254 0.8746 0.2474 Sm
0.6248 0.3752 0.7526 Sm
0.6248 0.3752 0.2474 Sm
0.3751 0.6249 0.0000 Dy
0.8742 0.1258 0.0000 Mg
```